No. 1
VASP calculation (PBE) on crystalline Ac12TbIn6 at its relaxed geometry.

a = 8.9222 Å, b = 8.9222 Å, c = 8.9222 Å
α = 87.84°, β = 87.84°, γ = 87.84°
Positions (direct):
In 0.7357 0.8891 0.2532
In 0.7468 0.2643 0.1109
In 0.8891 0.2532 0.7357
In 0.2532 0.7357 0.8891
In 0.1109 0.7468 0.2643
In 0.2643 0.1109 0.7468
Ac 0.1547 0.3768 0.0298
Ac 0.3768 0.0298 0.1547
Ac 0.4355 0.8092 0.5309
Ac 0.6232 0.9702 0.8453
Ac 0.4691 0.5645 0.1908
Ac 0.1908 0.4691 0.5645
Ac 0.9702 0.8453 0.6232
Ac 0.8092 0.5309 0.4355
Ac 0.0298 0.1547 0.3768
Ac 0.8453 0.6232 0.9702
Ac 0.5645 0.1908 0.4691
Ac 0.5309 0.4355 0.8092
Tb 0.0000 0.0000 0.0000

Computed properties:
As for the density of states at the Fermi level: 21.803 states/eV per cell. The volume is 37.3 Å³ per atom. The value obtained for the energy relative to the elements is -164.8 meV per atom. The value obtained for the uncorrected energy is -3.868 eV per atom. As for the crystal system: trigonal. The theoretical density is 8.368 g/cm3.

***

No. 2
VASP calculation (PBE) on crystalline Y2MgReB at its relaxed geometry.

a = 5.2228 Å, b = 5.0627 Å, c = 5.2228 Å
α = 90.00°, β = 90.00°, γ = 90.00°
Positions (direct):
Mg 0.0000 0.5000 0.0000
Re 0.0000 0.0000 0.0000
B 0.5000 0.5000 0.5000
Y 0.0000 0.0000 0.5000
Y 0.5000 0.0000 0.0000

Computed properties:
As for the density of states at the Fermi level: 4.616 states/eV per cell. The volume is 27.6 Å³ per atom. The value obtained for the energy relative to the elements is 1217.3 meV per atom. The value obtained for the uncorrected energy is -5.512 eV per atom. As for the crystal system: tetragonal. The theoretical density is 4.799 g/cm3.

***

No. 3
VASP calculation (PBE) on crystalline Na4La3TbTe8 at its relaxed geometry.

a = 9.1953 Å, b = 9.2109 Å, c = 9.1949 Å
α = 119.97°, β = 120.00°, γ = 90.00°
Positions (direct):
Te 0.7477 0.7429 0.4955
Te 0.2414 0.7379 0.9968
Te 0.2523 0.2571 0.5045
Te 0.2447 0.2621 0.0032
Te 0.7585 0.2620 0.5171
Te 0.2415 0.7380 0.4829
Te 0.7586 0.2621 0.0032
Te 0.7553 0.7379 0.9968
La 0.5000 0.5000 0.0000
La 0.5000 0.5000 0.5000
La 0.0000 0.5000 0.5000
Na 0.5000 0.0000 0.0000
Na 0.5000 0.0000 0.5000
Na 0.0000 0.0000 0.0000
Na 0.0000 0.0000 0.5000
Tb 0.0000 0.5000 0.0000

Computed properties:
The uncorrected formation energy is -1.382 eV/atom. The volume is 34.4 Å³ per atom. The value obtained for the uncorrected energy is -4.496 eV per atom. As for the crystal system: trigonal. The theoretical density is 5.089 g/cm3.

***

No. 4
VASP calculation (PBE) on crystalline Al2GaOs4 at its relaxed geometry.

a = 4.4319 Å, b = 4.4319 Å, c = 7.0129 Å
α = 71.58°, β = 71.58°, γ = 90.00°
Each line ends with the local moment (μB).
Positions (direct):
Al 0.3822 0.3822 0.2356  0.00
Al 0.6178 0.6178 0.7644  0.00
Ga 0.0000 0.0000 0.0000  0.00
Os 0.5000 0.0000 0.0000  -0.01
Os 0.1905 0.1905 0.6191  0.16
Os 0.8095 0.8095 0.3809  0.16
Os 0.0000 0.5000 0.0000  -0.01

Computed properties:
As for the density of states at the Fermi level: 6.364 states/eV per cell. The volume is 17.6 Å³ per atom. The value obtained for the energy relative to the elements is 1266.1 meV per atom. The value obtained for the uncorrected energy is -6.653 eV per atom. As for the crystal system: tetragonal. The theoretical density is 11.920 g/cm3.

***

No. 5
VASP calculation (PBE) on crystalline LiTlTePb2 at its relaxed geometry.

a = 6.2062 Å, b = 4.8367 Å, c = 6.2062 Å
α = 90.00°, β = 90.00°, γ = 90.00°
Positions (direct):
Pb 0.0000 0.0000 0.5000
Pb 0.5000 0.0000 0.0000
Li 0.0000 0.5000 0.0000
Te 0.0000 0.0000 0.0000
Tl 0.5000 0.5000 0.5000

Computed properties:
The uncorrected formation energy is 0.055 eV/atom. As for the density of states at the Fermi level: 3.069 states/eV per cell. The volume is 37.3 Å³ per atom. The value obtained for the uncorrected energy is -2.912 eV per atom. As for the crystal system: tetragonal. The theoretical density is 6.715 g/cm3.

***

No. 6
VASP calculation (PBE) on crystalline RbNbAu3 at its relaxed geometry.

a = 5.2873 Å, b = 5.2873 Å, c = 5.2873 Å
α = 90.00°, β = 90.00°, γ = 90.00°
Positions (direct):
Au 0.0000 0.5000 0.0000
Au 0.5000 0.0000 0.0000
Au 0.0000 0.0000 0.5000
Rb 0.5000 0.5000 0.5000
Nb 0.0000 0.0000 0.0000

Computed properties:
As for the density of states at the Fermi level: 3.828 states/eV per cell. The volume is 29.6 Å³ per atom. The value obtained for the energy relative to the elements is 330.3 meV per atom. The value obtained for the uncorrected energy is -3.844 eV per atom. The calculation puts the energy relative to the lowest polymorph listed for this composition at 0.0000 eV per atom. As for the crystal system: cubic. The theoretical density is 8.642 g/cm3.

***

No. 7
VASP calculation (PBE) on crystalline Pr14NdHo at its relaxed geometry.

a = 7.3919 Å, b = 7.3919 Å, c = 10.4818 Å
α = 90.00°, β = 90.00°, γ = 90.02°
Positions (direct):
Pr 0.1263 0.3764 0.7520
Pr 0.3755 0.1252 0.0000
Pr 0.1261 0.8739 0.7521
Pr 0.8748 0.1252 0.5000
Pr 0.3751 0.6249 0.5000
Pr 0.1263 0.3764 0.2480
Pr 0.3747 0.1248 0.5000
Pr 0.6238 0.3762 0.2481
Pr 0.1261 0.8739 0.2479
Pr 0.6236 0.8737 0.7520
Pr 0.8752 0.6253 0.5000
Pr 0.6236 0.8737 0.2480
Pr 0.8748 0.6245 0.0000
Pr 0.6238 0.3762 0.7519
Ho 0.3749 0.6251 0.0000
Nd 0.8753 0.1247 0.0000

Computed properties:
As for the density of states at the Fermi level: 25.963 states/eV per cell. The volume is 35.8 Å³ per atom. The value obtained for the energy relative to the elements is 11.8 meV per atom. The value obtained for the uncorrected energy is -4.754 eV per atom. As for the crystal system: orthorhombic. The theoretical density is 6.616 g/cm3.

***

No. 8
VASP calculation (PBE) on crystalline Al2IrBr at its relaxed geometry.

a = 5.3836 Å, b = 5.3836 Å, c = 5.3836 Å
α = 146.00°, β = 108.87°, γ = 81.23°
Positions (direct):
Al 0.4803 0.4803 0.0000
Al 0.0197 0.0197 0.0000
Ir 0.2500 0.7500 0.5000
Br 0.7500 0.2500 0.5000

Computed properties:
The uncorrected formation energy is 0.203 eV/atom. As for the density of states at the Fermi level: 1.081 states/eV per cell. The volume is 20.1 Å³ per atom. The value obtained for the uncorrected energy is -4.302 eV per atom. The calculation puts the energy relative to the lowest polymorph listed for this composition at 0.7159 eV per atom. As for the crystal system: orthorhombic. The theoretical density is 6.721 g/cm3.